Tc3Pt2 (PBE-GGA, optimized geometry); DFT total energy = -8.07 eV per atom; space group = P-3m1, No. 164; energy of formation = 0.56 eV/atom; E above lowest polymorph = 0.641 eV/atom; total moment = 2.173 μB/f.u.
1.0
2.123 -3.677 0.000
2.123 3.677 0.000
0.000 0.000 5.524
Tc Pt
3 2
Cartesian
0.000 0.000 0.000
2.123 -1.226 3.289
2.123 1.226 2.234
2.123 -1.226 0.722
2.123 1.226 4.801